The following is a PBE calculation of a geometry-optimized NbV3W2 structure, from Alexandria via LeMat-Bulk.

Geometry as POSCAR:
```
NbV3W2
1.0
4.2742 0.0000 0.9517
2.1371 6.6189 0.4759
2.9735 0.0000 7.0540
V Nb W
6 2 4
Direct
0.4209 0.6707 0.7440
0.0916 0.3293 0.7440
0.7550 0.0000 0.7449
0.5791 0.3293 0.2560
0.9084 0.6707 0.2560
0.2450 0.0000 0.2551
0.6658 0.6685 0.0000
0.3342 0.3315 0.0000
0.0000 0.0000 0.0000
0.5000 0.0000 0.5000
0.8332 0.3336 0.5000
0.1668 0.6664 0.5000
```

**E above lowest polymorph**: 0.00 eV per formula unit
**ΔE_f**: -0.03 eV/atom
**M_tot**: 0.0 μB/f.u.